The following is a PBE calculation of Sr2YRu after structural relaxation, from Alexandria.

```
4
Lattice="-1.768 2.255 8.835 1.768 -2.255 8.835 1.768 2.255 -8.835" Properties=species:S:1:pos:R:3 pbc="T T T"
Sr 0.000 0.000 2.743
Sr 0.000 0.000 14.927
Y 0.000 2.255 0.000
Ru 1.768 0.000 0.000
```

- E_form: 0.12 eV per atom
- Total DFT energy (no corrections): -4.6571 eV/atom
- Spin magnetization: 0.0 Bohr magnetons per cell
- Symmetry: Immm, No. 71